(1)
Computed, not measured: an optimized crystal structure of NaBeAl2Tc at the GGA-PBE level of DFT.

Results
space-group type = No. 123
total DFT energy (no corrections) = -3.461 eV/atom

a b c (Å): 4.7418 4.7418 5.3365
angles (deg): 90.00 90.00 90.00
Last column: nearest neighbours and their distance in Å.
Fractional coordinates of all 5 atoms:
1 Na 0.0000 0.0000 0.0000  2 Tc 2.67
2 Be 0.5000 0.5000 0.0000  4 Na 3.35, 8 Al 3.57
3 Al 0.0000 0.5000 0.5000  2 Tc 2.37
4 Al 0.5000 0.0000 0.5000  2 Tc 2.37
5 Tc 0.0000 0.0000 0.5000  4 Al 2.37

(2)
Computed, not measured: an optimized crystal structure of Sm2ThN3 at the GGA-PBE level of DFT.

Results
space-group type = No. 63
ΔE_f (raw) = -1.420 eV/atom

a b c (Å): 7.2272 7.2272 5.1597
angles (deg): 90.00 90.00 59.83
Last column: nearest neighbours and their distance in Å.
Fractional coordinates of all 12 atoms:
1 Sm 0.0060 0.3339 0.2500  5 N 2.39-2.58
2 Sm 0.3339 0.0060 0.7500  5 N 2.39-2.58
3 Sm 0.6661 0.9940 0.2500  5 N 2.39-2.58
4 Sm 0.9940 0.6661 0.7500  5 N 2.39-2.58
5 Th 0.3272 0.6728 0.2500  5 N 2.35-2.58
6 Th 0.6728 0.3272 0.7500  5 N 2.35-2.58
7 N 0.0043 0.6684 0.2500  1 Th 2.35, 4 Sm 2.39-2.58
8 N 0.3319 0.6681 0.7500  2 Sm 2.45, 3 Th 2.46-2.58
9 N 0.3316 0.9957 0.2500  1 Th 2.35, 4 Sm 2.39-2.58
10 N 0.6684 0.0043 0.7500  1 Th 2.35, 4 Sm 2.39-2.58
11 N 0.6681 0.3319 0.2500  2 Sm 2.45, 3 Th 2.46-2.58
12 N 0.9957 0.3316 0.7500  1 Th 2.35, 4 Sm 2.39-2.58

(3)
Computed, not measured: an optimized crystal structure of HfTi2Re at the GGA-PBE level of DFT.

Results
space-group type = No. 122
total DFT energy (no corrections) = -9.231 eV/atom

a b c (Å): 5.8868 5.8868 5.8868
angles (deg): 103.04 103.04 123.27
Last column: nearest neighbours and their distance in Å.
Fractional coordinates of all 8 atoms:
1 Hf 0.0000 0.0000 0.0000  2 Re 2.80, 4 Ti 2.90
2 Hf 0.7500 0.2500 0.5000  2 Re 2.80, 4 Ti 2.90
3 Ti 0.1662 0.1250 0.5412  2 Re 2.49
4 Ti 0.3750 0.8338 0.9588  2 Re 2.49
5 Ti 0.5838 0.6250 0.4588  2 Re 2.49
6 Ti 0.8750 0.4162 0.0412  2 Re 2.49
7 Re 0.2500 0.7500 0.5000  4 Ti 2.49
8 Re 0.5000 0.5000 0.0000  4 Ti 2.49

(4)
Computed, not measured: an optimized crystal structure of MnPb2 at the GGA-PBE level of DFT.

Results
space-group type = No. 58
total DFT energy (no corrections) = -5.154 eV/atom

a b c (Å): 6.4154 7.2279 3.3937
angles (deg): 90.00 90.00 90.00
Last column: nearest neighbours and their distance in Å.
Fractional coordinates of all 6 atoms:
1 Mn 0.0000 0.0000 0.0000  6 Pb 2.81-2.87
2 Mn 0.5000 0.5000 0.5000  6 Pb 2.81-2.87
3 Pb 0.1242 0.3011 0.5000  3 Mn 2.81-2.87
4 Pb 0.3758 0.8011 0.0000  3 Mn 2.81-2.87
5 Pb 0.6242 0.1989 0.0000  3 Mn 2.81-2.87
6 Pb 0.8758 0.6989 0.5000  3 Mn 2.81-2.87

(5)
Computed, not measured: an optimized crystal structure of BaCaPb3 at the GGA-PBE level of DFT.

Results
space-group type = No. 52
total DFT energy (no corrections) = -3.449 eV/atom

a b c (Å): 14.4830 7.0658 7.0658
angles (deg): 90.00 90.00 90.00
Last column: nearest neighbours and their distance in Å.
Fractional coordinates of all 20 atoms:
1 Ba 0.2500 0.0000 0.9997  8 Pb 3.84
2 Ba 0.2500 0.5000 0.5003  8 Pb 3.84
3 Ba 0.7500 0.0000 0.0003  8 Pb 3.84
4 Ba 0.7500 0.5000 0.4997  8 Pb 3.84
5 Ca 0.0000 0.2500 0.2500  8 Pb 3.27-3.53
6 Ca 0.0000 0.7500 0.7500  8 Pb 3.27-3.53
7 Ca 0.5000 0.2500 0.7500  8 Pb 3.27-3.53
8 Ca 0.5000 0.7500 0.2500  8 Pb 3.27-3.53
9 Pb 0.0004 0.2500 0.7500  4 Pb 3.27, 4 Ca 3.53
10 Pb 0.9996 0.7500 0.2500  4 Pb 3.27, 4 Ca 3.53
11 Pb 0.1460 0.9997 0.4996  3 Pb 3.01-3.27, 2 Ca 3.27
12 Pb 0.1460 0.5003 0.0004  3 Pb 3.01-3.27, 2 Ca 3.27
13 Pb 0.3540 0.0003 0.4996  3 Pb 3.01-3.27, 2 Ca 3.27
14 Pb 0.3540 0.4997 0.0004  3 Pb 3.01-3.27, 2 Ca 3.27
15 Pb 0.5004 0.2500 0.2500  4 Pb 3.27, 4 Ca 3.53
16 Pb 0.4996 0.7500 0.7500  4 Pb 3.27, 4 Ca 3.53
17 Pb 0.6460 0.9997 0.5004  3 Pb 3.01-3.27, 2 Ca 3.27
18 Pb 0.6460 0.5003 0.9996  3 Pb 3.01-3.27, 2 Ca 3.27
19 Pb 0.8540 0.0003 0.5004  3 Pb 3.01-3.27, 2 Ca 3.27
20 Pb 0.8540 0.4997 0.9996  3 Pb 3.01-3.27, 2 Ca 3.27

(6)
Computed, not measured: an optimized crystal structure of BaMnNbS2 at the GGA-PBE level of DFT.

Results
space-group type = No. 123
ΔE_f (raw) = 1.865 eV/atom

a b c (Å): 5.6585 5.6585 4.8632
angles (deg): 90.00 90.00 90.00
Last column: nearest neighbours and their distance in Å.
Fractional coordinates of all 5 atoms:
1 Ba 0.0000 0.0000 0.0000  2 Mn 2.43
2 Mn 0.0000 0.0000 0.5000  2 Ba 2.43
3 Nb 0.5000 0.5000 0.5000  8 S 3.73, 4 Mn 4.00
4 S 0.0000 0.5000 0.0000  2 Ba 2.83
5 S 0.5000 0.0000 0.0000  2 Ba 2.83

Number 1: size of the total moment 0.16 μB per atom, DOS(E_F) 3.38 states/eV per cell. Number 2: size of the total moment 0.00 μB per atom, DOS(E_F) 2.84 states/eV per cell. Number 3: size of the total moment 0.00 μB per atom, DOS(E_F) 10.02 states/eV per cell. Number 4: size of the total moment 1.15 μB per atom, DOS(E_F) 3.19 states/eV per cell. Number 5: size of the total moment 0.00 μB per atom, DOS(E_F) 7.75 states/eV per cell. Number 6: size of the total moment 0.59 μB per atom, DOS(E_F) 12.25 states/eV per cell.